GGA-PBE NdHo6Tl, relaxed; symmetry = Cmmm, No. 65; polymorph energy (0 for the lowest one) = 0.0 kJ/mol of atoms
1.0
-3.5664 -2.6540 2.9176
4.4441 -0.2321 5.2213
-3.3981 5.8451 1.1635
Nd Ho Tl
1 6 1
direct
0.5000 0.5000 0.5000
0.0000 0.7159 0.2841
0.0000 0.2841 0.7159
0.0000 0.7853 0.7853
0.0000 0.2147 0.2147
0.5000 0.5000 0.0000
0.5000 0.0000 0.5000
0.5000 0.0000 0.0000

=====

GGA-PBE Nd2Ho3Tl2, relaxed; symmetry = C2/m, No. 12
1.0
-0.5157 -0.5867 5.4157
4.9479 -0.1811 -2.3126
-2.4004 8.3918 0.6805
Nd Ho Tl
2 3 2
direct
0.9236 0.8471 0.2711
0.0764 0.1529 0.7289
0.5000 0.0000 0.0000
0.6533 0.3065 0.4596
0.3467 0.6935 0.5404
0.7826 0.5653 0.8482
0.2174 0.4347 0.1518

=====

Quick rundown of calculated formation energy, same order as above: -0.0151 -0.1942 eV per atom
Quick rundown of DOS at the Fermi energy, same order as above: 1.377 0.961 states/eV per atom